(1)
A geometry-optimized NiPRh structure, computed with GGA-PBE.

Calculated volume = 44 Å³ per cell
Fermi-level density of states = 1.933 states/eV per cell
E_form = -0.36 eV/f.u.
M_tot = 0.00 μB/cell

Geometry as POSCAR:
```
NiPRh
1.0
0.000 2.793 2.793
2.793 0.000 2.793
2.793 2.793 0.000
Ni P Rh
1 1 1
direct
0.000 0.000 0.000 Ni
0.500 0.500 0.500 P
0.750 0.750 0.750 Rh
```



(2)
A geometry-optimized NiP2Rh structure, computed with GGA-PBE.

Calculated volume = 136 Å³ per cell
Fermi-level density of states = 5.622 states/eV per cell
E_form = -1.09 eV/f.u.
M_tot = 0.00 μB/cell

Geometry as POSCAR:
```
NiP2Rh
1.0
-2.558 2.558 5.209
2.558 -2.558 5.209
2.558 2.558 -5.209
Ni P Rh
2 4 2
direct
0.000 0.000 0.000 Ni
0.750 0.250 0.500 Ni
0.110 0.625 0.985 P
0.375 0.360 0.485 P
0.640 0.125 0.015 P
0.875 0.890 0.515 P
0.250 0.750 0.500 Rh
0.500 0.500 0.000 Rh
```



(3)
A geometry-optimized NiP2Rh structure, computed with GGA-PBE.

Calculated volume = 51 Å³ per cell
Fermi-level density of states = 2.422 states/eV per cell
E_form = -0.36 eV/f.u.
M_tot = 0.00 μB/cell

Geometry as POSCAR:
```
NiP2Rh
1.0
4.145 0.000 0.000
0.000 4.145 0.000
0.000 0.000 2.967
Ni P Rh
1 2 1
direct
0.000 0.000 0.000 Ni
0.000 0.500 0.500 P
0.500 0.000 0.500 P
0.500 0.500 0.000 Rh
```



(4)
A geometry-optimized Ni2PRh structure, computed with GGA-PBE.

Calculated volume = 49 Å³ per cell
Fermi-level density of states = 3.476 states/eV per cell
E_form = -0.50 eV/f.u.
M_tot = 0.00 μB/cell

Geometry as POSCAR:
```
Ni2PRh
1.0
2.402 -3.528 0.000
2.402 3.528 0.000
0.000 0.000 2.861
Ni P Rh
2 1 1
direct
0.000 0.500 0.000 Ni
0.500 0.000 0.000 Ni
0.000 0.000 0.500 P
0.500 0.500 0.500 Rh
```



(5)
A geometry-optimized Ni2PRh structure, computed with GGA-PBE.

Calculated volume = 97 Å³ per cell
Fermi-level density of states = 8.759 states/eV per cell
E_form = -1.45 eV/f.u.
M_tot = 0.00 μB/cell

Geometry as POSCAR:
```
Ni2PRh
1.0
3.577 -2.711 0.000
3.577 2.711 0.000
-0.005 0.000 5.011
Ni P Rh
4 2 2
direct
0.048 0.952 0.500 Ni
0.159 0.443 0.225 Ni
0.443 0.159 0.725 Ni
0.952 0.048 0.000 Ni
0.309 0.660 0.843 P
0.660 0.309 0.343 P
0.543 0.821 0.217 Rh
0.821 0.543 0.717 Rh
```



(6)
A geometry-optimized NiP2Rh structure, computed with GGA-PBE.

Calculated volume = 51 Å³ per cell
Fermi-level density of states = 1.994 states/eV per cell
E_form = -0.23 eV/f.u.
M_tot = 0.00 μB/cell

Geometry as POSCAR:
```
NiP2Rh
1.0
-1.771 1.771 4.072
1.771 -1.771 4.072
1.771 1.771 -4.072
Ni P Rh
1 2 1
direct
0.000 0.000 0.000 Ni
0.250 0.750 0.500 P
0.500 0.500 0.000 P
0.750 0.250 0.500 Rh
```